VASP calculation (GGA-PBE) on a relaxed ScTcCl2 crystal.

Computed properties:
ΔE_f (raw) in meV per atom: -83
E above lowest polymorph in meV per atom: 622.4

Cell lengths 4.3677, 4.3677, 3.2898 Å; angles 90.00, 90.00, 90.00 degrees
Last column: nearest neighbours and their distance in Å.
Space group P4/mmm (No. 123)
Symmetry-distinct sites (fractional):
1 Sc 0.0000 0.0000 0.0000 (multiplicity 1)  8 Cl 2.73
2 Tc 0.5000 0.5000 0.0000 (multiplicity 1)  8 Cl 2.73
3 Cl 0.0000 0.5000 0.5000 (multiplicity 2)  4 Tc 2.73, 4 Sc 2.73

VASP calculation (GGA-PBE) on a relaxed GdDyCu crystal.

Computed properties:
Calculated formation energy in eV/atom: 0.0623
E above lowest polymorph in meV per atom: 193.0

Cell lengths 6.8825, 6.8825, 6.8825 Å; angles 90.00, 90.00, 90.00 degrees
Last column: nearest neighbours and their distance in Å.
Space group F-43m (No. 216)
Symmetry-distinct sites (fractional):
1 Gd 0.0000 0.0000 0.0000 (multiplicity 4)  4 Cu 2.98
2 Dy 0.0000 0.0000 0.5000 (multiplicity 4)  4 Cu 2.98
3 Cu 0.2500 0.2500 0.2500 (multiplicity 4)  4 Gd 2.98, 4 Dy 2.98

VASP calculation (GGA-PBE) on a relaxed V2CdCoBr crystal.

Computed properties:
ΔE_f (raw) in meV per atom: 948

Cell lengths 4.5219, 4.5219, 4.3259 Å; angles 90.00, 90.00, 90.00 degrees
Last column: nearest neighbours and their distance in Å.
Space group P4/mmm (No. 123)
Symmetry-distinct sites (fractional):
1 V 0.0000 0.5000 0.0000 (multiplicity 2)  2 Br 2.26
2 Cd 0.0000 0.0000 0.5000 (multiplicity 1)  8 V 3.13, 4 Co 3.20
3 Co 0.5000 0.5000 0.5000 (multiplicity 1)  2 Br 2.16
4 Br 0.5000 0.5000 0.0000 (multiplicity 1)  2 Co 2.16, 4 V 2.26

VASP calculation (GGA-PBE) on a relaxed SrCaMn4 crystal.

Computed properties:
Calculated formation energy in eV/atom: 0.5590

Cell lengths 8.0396, 8.0396, 8.0396 Å; angles 90.00, 90.00, 90.00 degrees
Last column: nearest neighbours and their distance in Å.
Space group F-43m (No. 216)
Symmetry-distinct sites (fractional):
1 Sr 0.0000 0.0000 0.0000 (multiplicity 4)  12 Mn 3.34, 4 Ca 3.48
2 Ca 0.2500 0.2500 0.7500 (multiplicity 4)  12 Mn 3.32, 4 Sr 3.48
3 Mn 0.1211 0.1211 0.3789 (multiplicity 16)  6 Mn 2.75-2.93

VASP calculation (GGA-PBE) on a relaxed TaInPtO6 crystal.

Computed properties:
ΔE_f (raw) in meV per atom: -1662

Cell lengths 4.7856, 4.7856, 9.6265 Å; angles 90.00, 90.00, 90.00 degrees
Last column: nearest neighbours and their distance in Å.
Space group P4_2nm (No. 102)
Symmetry-distinct sites (fractional):
1 Ta 0.0000 0.0000 0.0000 (multiplicity 2)  6 O 1.98-2.03
2 In 0.0000 0.0000 0.3292 (multiplicity 2)  6 O 2.16-2.21
3 Pt 0.0000 0.0000 0.6617 (multiplicity 2)  6 O 2.02-2.05
4 O 0.1809 0.1809 0.8326 (multiplicity 4)  1 Ta 2.02, 1 Pt 2.05, 1 In 2.16
5 O 0.2000 0.2000 0.5036 (multiplicity 4)  1 Ta 2.03, 1 Pt 2.04, 1 In 2.16
6 O 0.2021 0.2021 0.1485 (multiplicity 4)  1 Ta 1.98, 1 Pt 2.02, 1 In 2.21

VASP calculation (GGA-PBE) on a relaxed La3Pr2NdDy6 crystal.

Computed properties:
Calculated formation energy in eV/atom: 0.0113

Cell lengths 6.3205, 10.9493, 11.8948 Å; angles 90.00, 100.19, 90.00 degrees
Last column: nearest neighbours and their distance in Å.
Space group C2/m (No. 12)
Symmetry-distinct sites (fractional):
1 La 0.0000 0.0000 0.0000 (multiplicity 2)  6 Dy 3.62, 6 La 3.65
2 La 0.0000 0.3331 0.0000 (multiplicity 4)  6 Dy 3.62, 6 La 3.65
3 Pr 0.0000 0.1666 0.5000 (multiplicity 4)  6 Dy 3.59, 3 Pr 3.65, 3 Nd 3.65
4 Nd 0.0000 0.5000 0.5000 (multiplicity 2)  6 Dy 3.59, 6 Pr 3.65
5 Dy 0.2492 0.3334 0.7486 (multiplicity 8)  1 Nd 3.59, 2 Pr 3.59, 3 La 3.62, 6 Dy 3.65
6 Dy 0.2496 0.0000 0.7487 (multiplicity 4)  1 Nd 3.59, 2 Pr 3.59, 3 La 3.62, 6 Dy 3.65

Number 4 is which compound?
SrCaMn4